1.
Computed, not measured: K2Mn2Se3 after structural relaxation at the GGA-PBE level of DFT.

```
28
Lattice="8.291 -7.492 0.000 8.291 7.492 0.000 -3.051 0.000 6.547" Properties=species:S:1:pos:R:3 pbc="T T T"
K 6.003 6.513 4.910
K 7.528 4.280 1.637
K 5.276 1.348 2.793
K 3.750 -1.348 6.067
K 9.780 1.348 0.481
K 8.255 -1.348 3.754
K 6.003 -4.280 4.910
K 7.528 -6.513 1.637
Mn 2.857 4.019 4.859
Mn 1.243 1.120 5.232
Mn 2.768 -1.120 1.958
Mn 9.148 4.019 4.962
Mn 4.383 -4.019 1.586
Mn 10.762 1.120 4.589
Mn 12.288 -1.120 1.316
Mn 10.673 -4.019 1.688
Se 4.495 4.410 2.891
Se 2.507 1.117 0.564
Se 0.981 -1.117 3.838
Se 3.531 1.879 6.046
Se 10.561 4.410 0.383
Se 8.474 1.879 3.775
Se 5.056 -1.879 2.773
Se 2.970 -4.410 6.165
Se 10.000 -1.879 0.501
Se 12.549 1.117 2.709
Se 11.024 -1.117 5.983
Se 9.035 -4.410 3.656
```

Uncorrected energy = -5.211 eV/atom
Formation energy without anion corrections = -5.488 eV/f.u.
SG = C2/c (15)

=====

2.
Computed, not measured: Mn2Ga3Fe4 after structural relaxation at the GGA-PBE level of DFT.

```
18
Lattice="4.508 -5.647 0.000 4.508 5.647 0.000 -0.862 0.000 4.699" Properties=species:S:1:pos:R:3 pbc="T T T"
Mn 2.626 3.461 3.158
Mn 5.097 3.461 3.891
Mn 3.057 -3.461 0.808
Mn 5.528 -3.461 1.541
Ga 1.996 1.414 4.521
Ga 4.293 3.355 1.175
Ga 2.427 -1.414 2.172
Ga 5.727 1.414 2.528
Ga 3.862 -3.355 3.525
Ga 6.158 -1.414 0.178
Fe 0.606 0.101 2.925
Fe 1.037 -0.101 0.575
Fe 3.245 0.998 2.327
Fe 2.814 -0.998 4.677
Fe 5.340 0.998 0.022
Fe 4.909 -0.998 2.372
Fe 7.118 0.101 4.124
Fe 7.549 -0.101 1.774
```

Uncorrected energy = -6.739 eV/atom
Calculated formation energy = 0.07 eV per atom
SG = C2/c (15)

=====

3.
Computed, not measured: AgPt2W after structural relaxation at the GGA-PBE level of DFT.

```
4
Lattice="-1.375 2.238 5.693 1.375 -2.238 5.693 1.375 2.238 -5.693" Properties=species:S:1:pos:R:3 pbc="T T T"
Ag 0.000 0.000 0.000
Pt 0.000 0.000 4.825
Pt 0.000 2.238 1.816
W 1.375 0.000 2.640
```

Uncorrected energy = -6.891 eV/atom
Calculated formation energy = 0.08 eV per atom
SG = Imm2 (44)

=====

4.
Computed, not measured: BaTc2IrI after structural relaxation at the GGA-PBE level of DFT.

```
5
Lattice="4.833 0.000 0.000 0.000 4.833 0.000 0.000 0.000 6.605" Properties=species:S:1:pos:R:3 pbc="T T T"
Ba 0.000 0.000 0.000
Tc 0.000 2.417 3.303
Tc 2.417 0.000 3.303
Ir 0.000 0.000 3.303
I 2.417 2.417 0.000
```

Uncorrected energy = -5.796 eV/atom
Formation energy without anion corrections = 4.087 eV/f.u.
SG = P4/mmm (123)

=====

5.
Computed, not measured: Ho3Zn3Si after structural relaxation at the GGA-PBE level of DFT.

```
7
Lattice="-1.976 2.076 9.305 1.976 -2.076 9.305 1.976 2.076 -9.305" Properties=species:S:1:pos:R:3 pbc="T T T"
Ho 0.000 0.000 0.000
Ho 0.000 0.000 6.978
Ho 0.000 2.076 3.665
Zn 1.976 0.000 2.332
Zn 0.000 0.000 10.196
Zn 0.000 0.000 15.463
Si 1.976 0.000 4.751
```

Uncorrected energy = -3.711 eV/atom
Formation energy without anion corrections = -2.998 eV/f.u.
SG = Imm2 (44)

=====

6.
Computed, not measured: LaNi after structural relaxation at the GGA-PBE level of DFT.

```
4
Lattice="3.866 0.000 0.000 -1.933 3.348 0.000 0.000 0.000 8.085" Properties=species:S:1:pos:R:3 pbc="T T T"
La 0.000 2.232 2.275
La 1.933 1.116 5.810
Ni 0.000 2.232 7.490
Ni 1.933 1.116 0.595
```

Uncorrected energy = -5.331 eV/atom
Calculated formation energy = 0.02 eV per atom
SG = P-3m1 (164)

=====

Please write out number 5 again, unchanged.
Computed, not measured: Ho3Zn3Si after structural relaxation at the GGA-PBE level of DFT.

```
7
Lattice="-1.976 2.076 9.305 1.976 -2.076 9.305 1.976 2.076 -9.305" Properties=species:S:1:pos:R:3 pbc="T T T"
Ho 0.000 0.000 0.000
Ho 0.000 0.000 6.978
Ho 0.000 2.076 3.665
Zn 1.976 0.000 2.332
Zn 0.000 0.000 10.196
Zn 0.000 0.000 15.463
Si 1.976 0.000 4.751
```

Uncorrected energy = -3.711 eV/atom
Formation energy without anion corrections = -2.998 eV/f.u.
SG = Imm2 (44)

=====

Question: What is the formula in the third record?
Answer: AgPt2W